Entry 1:
# PBE Zn2Hg2F7, relaxed
data_Zn2Hg2F7
_chemical_formula_sum 'Zn2 Hg2 F7'
_cell_length_a 5.384
_cell_length_b 5.372
_cell_length_c 5.372
_cell_angle_alpha 75.67
_cell_angle_beta 92.99
_cell_angle_gamma 92.99
_space_group_name_H-M_alt 'P 1'
_space_group_IT_number 1
loop_
_space_group_symop_operation_xyz
'x,y,z'
loop_
_atom_site_label
_atom_site_type_symbol
_atom_site_fract_x
_atom_site_fract_y
_atom_site_fract_z
Zn1 Zn 0.028 0.251 0.251
Zn2 Zn 0.972 0.749 0.749
Hg1 Hg 0.500 0.211 0.789
Hg2 Hg 0.500 0.789 0.211
F1 F 0.237 0.952 0.507
F2 F 0.763 0.493 0.048
F3 F 0.763 0.048 0.493
F4 F 0.237 0.507 0.952
F5 F 0.000 0.000 0.000
F6 F 0.755 0.548 0.548
F7 F 0.245 0.452 0.452
# Calculated volume = 150.20 Å³ per cell
# N(E_F) = 2.23 states/eV/f.u.
# ρ = 7.35 Mg/m³
# E_form (uncorrected) = -1.764 eV per atom



Entry 2:
# PBE ZnHgF3, relaxed
data_ZnHgF3
_chemical_formula_sum 'Zn2 Hg2 F6'
_cell_length_a 3.386
_cell_length_b 5.674
_cell_length_c 8.212
_cell_angle_alpha 65.60
_cell_angle_beta 90.00
_cell_angle_gamma 90.00
_space_group_name_H-M_alt 'P 1'
_space_group_IT_number 1
loop_
_space_group_symop_operation_xyz
'x,y,z'
loop_
_atom_site_label
_atom_site_type_symbol
_atom_site_fract_x
_atom_site_fract_y
_atom_site_fract_z
Zn1 Zn 0.250 0.220 0.554
Zn2 Zn 0.750 0.780 0.446
Hg1 Hg 0.250 0.293 0.032
Hg2 Hg 0.750 0.707 0.968
F1 F 0.250 0.061 0.844
F2 F 0.750 0.939 0.156
F3 F 0.250 0.049 0.369
F4 F 0.750 0.951 0.631
F5 F 0.250 0.563 0.593
F6 F 0.750 0.437 0.407
# Calculated volume = 143.71 Å³ per cell
# ρ = 7.46 Mg/m³
# E_form (uncorrected) = -1.800 eV per atom
# Polymorph energy (0 for the lowest one) = 0.000 eV per atom